[1]
{"formula": "HfHg3Te", "functional": "PBE", "state": "optimized geometry", "cell": [[-0.096, 3.086, 4.618], [-5.310, 1.303, -0.982], [-1.629, -4.431, 2.928]], "species": ["Te", "Hf", "Hg", "Hg", "Hg"], "frac_coords": [[0.500, 0.500, 0.500], [0.000, 0.000, 0.000], [0.000, 0.500, 0.000], [0.000, 0.000, 0.500], [0.500, 0.000, 0.000]], "e_above_lowest_polymorph_mev_per_atom": 0.0, "sg": "No. 221", "e_form_raw_mev_per_atom": 561}

[2]
{"formula": "Zr2NiPt5", "functional": "PBE", "state": "optimized geometry", "cell": [[4.027, 0.000, 0.000], [0.000, 5.669, 0.000], [0.000, 0.000, 11.337]], "species": ["Zr", "Zr", "Zr", "Zr", "Ni", "Ni", "Pt", "Pt", "Pt", "Pt", "Pt", "Pt", "Pt", "Pt", "Pt", "Pt"], "frac_coords": [[0.500, 0.247, 0.623], [0.500, 0.753, 0.377], [0.500, 0.253, 0.123], [0.500, 0.747, 0.877], [0.000, 0.000, 0.500], [0.000, 0.500, 0.000], [0.000, 0.000, 0.000], [0.000, 0.500, 0.500], [0.000, 0.503, 0.752], [0.000, 0.497, 0.248], [0.000, 0.997, 0.252], [0.000, 0.003, 0.748], [0.500, 0.256, 0.879], [0.500, 0.744, 0.121], [0.500, 0.244, 0.379], [0.500, 0.756, 0.621]], "sg": "No. 55"}

[3]
{"formula": "BaTiPd", "functional": "PBE", "state": "optimized geometry", "cell": [[-1.101, -4.302, 2.533], [2.544, 2.551, 0.280], [-7.152, 6.300, 7.592]], "species": ["Pd", "Pd", "Ba", "Ba", "Ti", "Ti"], "frac_coords": [[0.695, 0.389, 0.000], [0.194, 0.388, 0.500], [0.694, 0.389, 0.334], [0.694, 0.389, 0.666], [0.195, 0.389, 0.907], [0.195, 0.389, 0.093]], "sg": "No. 123"}

| no. | M_tot (μB per formula unit) | energy (eV per formula unit) |
| --- | --- | --- |
| 1 | 0.0 | -11.194 |
| 2 | 0.0 | -60.651 |
| 3 | 0.7 | -14.919 |